Entry from the Alexandria database: an optimized crystal structure of Nd5Tm2Tl4 (GGA-PBE).

abc: 12.4458 12.4458 8.1393
angles: 92.94 92.94 16.23
Sites, in units of the cell vectors:
Nd 0.0000 0.0000 0.0000
Nd 0.2668 0.2668 0.2156
Nd 0.3592 0.3592 0.8780
Nd 0.6408 0.6408 0.1220
Nd 0.7332 0.7332 0.7844
Tm 0.4105 0.4105 0.2826
Tm 0.5895 0.5895 0.7174
Tl 0.1639 0.1639 0.4716
Tl 0.4619 0.4619 0.6475
Tl 0.5381 0.5381 0.3525
Tl 0.8361 0.8361 0.5284

Properties
As for the electronic total energy: -3.876 eV/atom. For the calculated density, the calculation gives 8.855 g cm⁻³. Its calculated formation energy is -0.0352 eV/atom. As for the symmetry: No. 12.

***

Entry from the Alexandria database: an optimized crystal structure of Ca4AlAu (GGA-PBE).

abc: 5.7313 7.1877 8.8645
angles: 90.00 99.46 90.00
Sites, in units of the cell vectors:
Ca 0.1580 0.2500 0.0705
Ca 0.2177 0.7500 0.3758
Ca 0.3168 0.5115 0.7375
Ca 0.3168 0.9885 0.7375
Ca 0.6832 0.0115 0.2625
Ca 0.6832 0.4885 0.2625
Ca 0.7823 0.2500 0.6242
Ca 0.8420 0.7500 0.9295
Al 0.2300 0.2500 0.4270
Al 0.7700 0.7500 0.5730
Au 0.3591 0.7500 0.0439
Au 0.6409 0.2500 0.9561

Properties
As for the electronic total energy: -2.847 eV/atom. For the calculated density, the calculation gives 3.543 g cm⁻³. Its calculated formation energy is -0.3427 eV/atom. As for the symmetry: No. 11.

***

Please write out number 2 again, unchanged.
Entry from the Alexandria database: an optimized crystal structure of Ca4AlAu (GGA-PBE).

abc: 5.7313 7.1877 8.8645
angles: 90.00 99.46 90.00
Sites, in units of the cell vectors:
Ca 0.1580 0.2500 0.0705
Ca 0.2177 0.7500 0.3758
Ca 0.3168 0.5115 0.7375
Ca 0.3168 0.9885 0.7375
Ca 0.6832 0.0115 0.2625
Ca 0.6832 0.4885 0.2625
Ca 0.7823 0.2500 0.6242
Ca 0.8420 0.7500 0.9295
Al 0.2300 0.2500 0.4270
Al 0.7700 0.7500 0.5730
Au 0.3591 0.7500 0.0439
Au 0.6409 0.2500 0.9561

Properties
As for the electronic total energy: -2.847 eV/atom. For the calculated density, the calculation gives 3.543 g cm⁻³. Its calculated formation energy is -0.3427 eV/atom. As for the symmetry: No. 11.